[1]
A plane-wave DFT calculation with PBE-GGA was carried out for crystalline Li2AlTc at its relaxed geometry.

Results
* calculated formation energy: 0.02 eV per atom
* total magnetic moment: 0.001 μB per formula unit
* D(E_F): 1.71 states/eV/cell

a = 5.173 Å, b = 5.173 Å, c = 5.173 Å
α = 139.61°, β = 139.61°, γ = 58.45°
Fractional positions:
Li  0.250  0.750  0.500
Li  0.750  0.250  0.500
Al  0.000  0.000  0.000
Tc  0.500  0.500  0.000


[2]
A plane-wave DFT calculation with PBE-GGA was carried out for crystalline Ca2LuI at its relaxed geometry.

Results
* energy relative to the elements, uncorrected: -0.157 eV/atom
* total magnetic moment: 0.006 μB per formula unit
* D(E_F): 4.67 states/eV/cell

a = 11.964 Å, b = 11.964 Å, c = 11.964 Å
α = 18.23°, β = 18.23°, γ = 18.23°
Fractional positions:
Ca  0.097  0.097  0.097
Ca  0.903  0.903  0.903
Lu  0.000  0.000  0.000
I  0.500  0.500  0.500


> The lowest total magnetic moment belongs to which entry?

Li2AlTc


> Which formula does entry 2 have?

Ca2LuI